(1)
Compound: Mn3Pt4Rh
Source: Alexandria via LeMat-Bulk
Functional: PBE-GGA
Structure: optimized geometry

Geometry as POSCAR:
```
Mn3Pt4Rh
1.0
9.041 0.000 0.000
0.000 5.608 0.000
0.000 0.000 4.727
Mn Pt Rh
6 8 2
Cartesian
0.000 0.000 0.000 Mn
2.260 0.000 1.748 Mn
2.260 2.804 1.632 Mn
4.520 0.000 0.000 Mn
6.781 0.000 2.979 Mn
6.781 2.804 3.095 Mn
0.000 1.399 2.364 Pt
0.000 4.210 2.364 Pt
2.260 1.413 4.059 Pt
2.260 4.195 4.059 Pt
4.520 1.399 2.364 Pt
4.520 4.210 2.364 Pt
6.781 1.413 0.669 Pt
6.781 4.195 0.669 Pt
0.000 2.804 0.000 Rh
4.520 2.804 0.000 Rh
```

Summary:
* energy: -7.65 eV/atom

=====

(2)
Compound: Mn4Pt7Rh
Source: Alexandria via LeMat-Bulk
Functional: PBE-GGA
Structure: optimized geometry

Geometry as POSCAR:
```
Mn4Pt7Rh
1.0
4.874 0.000 0.000
0.021 5.478 0.000
2.208 1.374 6.781
Mn Pt Rh
4 7 1
Cartesian
1.606 1.319 2.217 Mn
3.039 4.078 4.553 Mn
4.063 2.774 2.228 Mn
5.496 5.533 4.565 Mn
0.013 1.362 0.016 Pt
1.633 4.073 2.310 Pt
3.042 1.357 4.457 Pt
2.447 2.739 0.000 Pt
4.060 5.495 2.324 Pt
5.469 2.779 4.471 Pt
7.089 5.491 6.766 Pt
2.437 0.000 0.000 Rh
```

Summary:
* energy: -7.46 eV/atom

=====

Q: What is the energy in the first record?
A: -7.65 eV/atom